{"formula": "Ba2TiInSe5", "functional": "PBE-GGA", "state": "optimized geometry", "lattice": [[4.241, 0.000, 0.000], [-2.120, 9.383, 0.000], [0.000, 0.000, 13.256]], "species": ["Ti", "Ti", "Se", "Se", "Se", "Se", "Se", "Se", "Se", "Se", "Se", "Se", "In", "In", "Ba", "Ba", "Ba", "Ba"], "fractional_positions": [[0.216, 0.432, 0.021], [0.784, 0.568, 0.521], [0.504, 0.008, 0.272], [0.653, 0.305, 0.503], [0.693, 0.386, 0.883], [0.708, 0.416, 0.143], [0.496, 0.992, 0.772], [0.307, 0.614, 0.383], [0.058, 0.116, 0.060], [0.292, 0.584, 0.643], [0.942, 0.884, 0.560], [0.347, 0.695, 0.003], [0.443, 0.887, 0.444], [0.557, 0.113, 0.944], [0.122, 0.244, 0.691], [0.863, 0.726, 0.806], [0.878, 0.756, 0.191], [0.137, 0.274, 0.306]], "formation_energy_uncorrected_ev_per_atom": -1.352, "total_magnetization_mub_per_fu": 0.99}

{"formula": "Nb2MoAs", "functional": "PBE-GGA", "state": "optimized geometry", "lattice": [[-2.221, 2.275, 2.265], [-2.035, -3.128, 1.147], [3.928, -1.715, 8.937]], "species": ["Mo", "Mo", "As", "As", "Nb", "Nb", "Nb", "Nb"], "fractional_positions": [[0.750, 0.250, 0.500], [0.000, 0.000, 0.000], [0.250, 0.750, 0.500], [0.500, 0.500, 0.000], [0.375, 0.387, 0.750], [0.875, 0.863, 0.750], [0.137, 0.625, 0.250], [0.613, 0.125, 0.250]], "formation_energy_ev_per_atom": 0.405, "total_magnetization_mub_per_fu": 0.00}

{"formula": "LiPa2Cr2N6", "functional": "PBE-GGA", "state": "optimized geometry", "lattice": [[5.234, 0.000, 0.000], [2.617, 4.532, 0.000], [2.617, 1.511, 5.855]], "species": ["N", "N", "N", "N", "N", "N", "Pa", "Pa", "Cr", "Cr", "Li"], "fractional_positions": [[0.262, 0.262, 0.699], [0.262, 0.777, 0.699], [0.738, 0.738, 0.301], [0.777, 0.262, 0.699], [0.738, 0.223, 0.301], [0.223, 0.738, 0.301], [0.791, 0.791, 0.626], [0.209, 0.209, 0.374], [0.606, 0.606, 0.182], [0.394, 0.394, 0.818], [0.000, 0.000, 0.000]], "formation_energy_uncorrected_ev_per_atom": -0.600, "total_magnetization_mub_per_fu": 0.00}

{"formula": "Tc2AgP2", "functional": "PBE-GGA", "state": "optimized geometry", "lattice": [[6.955, 0.000, 0.000], [0.000, 6.955, 0.000], [0.000, 0.000, 2.910]], "species": ["Tc", "Tc", "Tc", "Tc", "Ag", "Ag", "P", "P", "P", "P"], "fractional_positions": [[0.353, 0.147, 0.500], [0.647, 0.853, 0.500], [0.147, 0.647, 0.500], [0.853, 0.353, 0.500], [0.500, 0.500, 0.000], [0.000, 0.000, 0.000], [0.643, 0.143, 0.000], [0.357, 0.857, 0.000], [0.143, 0.357, 0.000], [0.857, 0.643, 0.000]], "formation_energy_ev_per_atom": -0.127, "e_above_lowest_polymorph_mev_per_atom": 0.0, "total_magnetization_mub_per_fu": 0.00}

{"formula": "Te2MoW2S4", "functional": "PBE-GGA", "state": "optimized geometry", "lattice": [[1.651, -2.860, 0.000], [1.651, 2.860, 0.000], [0.000, 0.000, 22.218]], "species": ["Te", "Te", "W", "W", "S", "S", "S", "S", "Mo"], "fractional_positions": [[0.000, 0.000, 0.583], [0.000, 0.000, 0.756], [0.667, 0.333, 0.030], [0.667, 0.333, 0.670], [0.667, 0.333, 0.273], [0.000, 0.000, 0.099], [0.667, 0.333, 0.410], [0.000, 0.000, 0.961], [0.000, 0.000, 0.342]], "e_above_lowest_polymorph_mev_per_atom": 50.1, "formation_energy_uncorrected_ev_per_atom": -0.521, "total_magnetization_mub_per_fu": 0.00}

{"formula": "SbAuI6", "functional": "PBE-GGA", "state": "optimized geometry", "lattice": [[6.263, 0.588, 0.041], [3.482, 9.572, 1.136], [3.177, 4.602, 7.174]], "species": ["I", "I", "I", "I", "I", "I", "Au", "Sb"], "fractional_positions": [[0.780, 0.167, 0.638], [0.623, 0.193, 0.161], [0.220, 0.833, 0.362], [0.115, 0.365, 0.790], [0.377, 0.807, 0.839], [0.885, 0.635, 0.210], [0.500, 0.500, 0.500], [0.000, 0.000, 0.000]], "e_above_lowest_polymorph_mev_per_atom": 37.6, "formation_energy_uncorrected_ev_per_atom": -0.117, "total_magnetization_mub_per_fu": 0.00}

{"formula": "Tb4Ga3Ge5", "functional": "PBE-GGA", "state": "optimized geometry", "lattice": [[-1.047, 2.954, 3.403], [-5.739, 0.391, 1.039], [-0.378, -6.880, 9.002]], "species": ["Ga", "Ga", "Ga", "Ge", "Ge", "Ge", "Ge", "Ge", "Tb", "Tb", "Tb", "Tb"], "fractional_positions": [[0.725, 0.001, 0.549], [0.275, 0.999, 0.451], [0.000, 0.500, 0.500], [0.521, 0.212, 0.746], [0.624, 0.840, 0.912], [0.500, 0.500, 0.500], [0.376, 0.160, 0.088], [0.479, 0.788, 0.254], [0.104, 0.705, 0.088], [0.242, 0.794, 0.722], [0.896, 0.295, 0.912], [0.758, 0.206, 0.278]], "formation_energy_ev_per_atom": -0.460, "total_magnetization_mub_per_fu": 0.00}

{"formula": "Pm6SiIr2Cl3", "functional": "PBE-GGA", "state": "optimized geometry", "lattice": [[4.130, 0.000, 0.000], [0.000, 8.757, 0.033], [-2.065, -2.811, 9.088]], "species": ["Si", "Cl", "Cl", "Cl", "Pm", "Pm", "Pm", "Pm", "Pm", "Pm", "Ir", "Ir"], "fractional_positions": [[0.500, 0.000, 0.000], [0.500, 0.500, 0.000], [0.843, 0.161, 0.686], [0.157, 0.839, 0.314], [0.016, 0.241, 0.032], [0.324, 0.435, 0.648], [0.660, 0.119, 0.320], [0.984, 0.759, 0.968], [0.676, 0.565, 0.352], [0.340, 0.881, 0.680], [0.831, 0.659, 0.662], [0.169, 0.341, 0.338]], "formation_energy_uncorrected_ev_per_atom": -1.172, "total_magnetization_mub_per_fu": 0.00}

{"formula": "Sc2Al3Ga2", "functional": "PBE-GGA", "state": "optimized geometry", "lattice": [[-1.498, -0.084, -2.870], [3.480, -1.369, -1.776], [-4.403, -8.226, 2.540]], "species": ["Ga", "Ga", "Al", "Al", "Al", "Sc", "Sc"], "fractional_positions": [[0.500, 0.289, 0.578], [0.500, 0.711, 0.422], [0.500, 0.429, 0.857], [0.500, 0.571, 0.143], [0.000, 0.000, 0.000], [0.000, 0.155, 0.309], [0.000, 0.845, 0.691]], "formation_energy_ev_per_atom": -0.390, "e_above_lowest_polymorph_mev_per_atom": 57.2, "total_magnetization_mub_per_fu": 0.00}

{"formula": "UBeFe2", "functional": "PBE-GGA", "state": "optimized geometry", "lattice": [[-0.825, 1.624, -1.972], [0.767, -0.464, -2.530], [-6.982, -4.605, -2.698]], "species": ["U", "Be", "Fe", "Fe"], "fractional_positions": [[0.500, 0.500, 0.500], [0.000, 0.000, 0.000], [0.735, 0.735, 0.796], [0.265, 0.265, 0.204]], "formation_energy_ev_per_atom": 0.342, "e_above_lowest_polymorph_mev_per_atom": 412.8, "total_magnetization_mub_per_fu": 4.76}

{"formula": "Zr3Sc2Rh2", "functional": "PBE-GGA", "state": "optimized geometry", "lattice": [[3.432, 0.000, 0.000], [-1.716, 5.669, -0.274], [0.000, -2.936, 7.723]], "species": ["Rh", "Rh", "Zr", "Zr", "Zr", "Sc", "Sc"], "fractional_positions": [[0.165, 0.330, 0.229], [0.835, 0.670, 0.771], [0.384, 0.767, 0.551], [0.500, 0.000, 0.000], [0.616, 0.233, 0.449], [0.851, 0.702, 0.193], [0.149, 0.298, 0.807]], "formation_energy_ev_per_atom": -0.490, "total_magnetization_mub_per_fu": 0.00}

{"formula": "NaCdRh2N", "functional": "PBE-GGA", "state": "optimized geometry", "lattice": [[-1.854, 3.452, 1.030], [-1.322, -1.729, 3.417], [3.782, 1.385, 2.163]], "species": ["Cd", "Na", "Rh", "Rh", "N"], "fractional_positions": [[0.500, 0.500, 0.500], [0.000, 0.000, 0.500], [0.500, 0.000, 0.000], [0.000, 0.500, 0.000], [0.000, 0.000, 0.000]], "formation_energy_uncorrected_ev_per_atom": 0.034, "total_magnetization_mub_per_fu": 0.43}

{"formula": "Ba3WN4", "functional": "PBE-GGA", "state": "optimized geometry", "lattice": [[10.560, 0.000, 0.000], [0.000, 10.978, 0.000], [0.000, 0.000, 12.423]], "species": ["N", "N", "N", "N", "N", "N", "N", "N", "N", "N", "N", "N", "N", "N", "N", "N", "N", "N", "N", "N", "N", "N", "N", "N", "N", "N", "N", "N", "N", "N", "N", "N", "Ba", "Ba", "Ba", "Ba", "Ba", "Ba", "Ba", "Ba", "Ba", "Ba", "Ba", "Ba", "Ba", "Ba", "Ba", "Ba", "Ba", "Ba", "Ba", "Ba", "Ba", "Ba", "Ba", "Ba", "W", "W", "W", "W", "W", "W", "W", "W"], "fractional_positions": [[0.794, 0.226, 0.321], [0.124, 0.506, 0.282], [0.376, 0.006, 0.718], [0.577, 0.652, 0.018], [0.814, 0.493, 0.037], [0.794, 0.726, 0.179], [0.206, 0.274, 0.821], [0.294, 0.274, 0.321], [0.314, 0.507, 0.463], [0.624, 0.494, 0.218], [0.686, 0.493, 0.537], [0.876, 0.994, 0.782], [0.206, 0.774, 0.679], [0.294, 0.774, 0.179], [0.706, 0.726, 0.679], [0.686, 0.993, 0.963], [0.706, 0.226, 0.821], [0.624, 0.994, 0.282], [0.077, 0.348, 0.482], [0.814, 0.993, 0.463], [0.186, 0.007, 0.537], [0.314, 0.007, 0.037], [0.923, 0.652, 0.518], [0.923, 0.152, 0.982], [0.423, 0.348, 0.982], [0.876, 0.494, 0.718], [0.124, 0.006, 0.218], [0.577, 0.152, 0.482], [0.423, 0.848, 0.518], [0.077, 0.848, 0.018], [0.186, 0.507, 0.963], [0.376, 0.506, 0.782], [0.120, 0.531, 0.639], [0.707, 0.278, 0.122], [0.534, 0.375, 0.394], [0.034, 0.125, 0.394], [0.620, 0.969, 0.639], [0.880, 0.969, 0.139], [0.120, 0.031, 0.861], [0.620, 0.469, 0.861], [0.034, 0.625, 0.106], [0.207, 0.722, 0.378], [0.793, 0.778, 0.878], [0.880, 0.469, 0.361], [0.966, 0.875, 0.606], [0.380, 0.531, 0.139], [0.466, 0.625, 0.606], [0.793, 0.278, 0.622], [0.966, 0.375, 0.894], [0.707, 0.778, 0.378], [0.534, 0.875, 0.106], [0.293, 0.722, 0.878], [0.466, 0.125, 0.894], [0.293, 0.222, 0.622], [0.207, 0.222, 0.122], [0.380, 0.031, 0.361], [0.798, 0.095, 0.885], [0.702, 0.595, 0.115], [0.298, 0.905, 0.615], [0.202, 0.405, 0.385], [0.798, 0.595, 0.615], [0.298, 0.405, 0.885], [0.702, 0.095, 0.385], [0.202, 0.905, 0.115]], "e_above_lowest_polymorph_mev_per_atom": 0.0, "formation_energy_uncorrected_ev_per_atom": -0.909, "total_magnetization_mub_per_fu": 0.00}

{"formula": "AgSb", "functional": "PBE-GGA", "state": "optimized geometry", "lattice": [[-0.112, 3.957, -2.121], [-0.491, -3.810, -2.326], [-2.959, 0.134, 0.405]], "species": ["Ag", "Sb"], "fractional_positions": [[0.333, 0.667, 0.500], [0.000, 0.000, 0.000]], "e_above_lowest_polymorph_mev_per_atom": 28.7, "formation_energy_uncorrected_ev_per_atom": 0.108, "total_magnetization_mub_per_fu": 0.00}

{"formula": "Mg3Au", "functional": "PBE-GGA", "state": "optimized geometry", "lattice": [[2.316, -4.011, 0.000], [2.316, 4.011, 0.000], [0.000, 0.000, 9.509]], "species": ["Mg", "Mg", "Mg", "Mg", "Mg", "Mg", "Au", "Au"], "fractional_positions": [[0.333, 0.667, 0.250], [0.667, 0.333, 0.090], [0.667, 0.333, 0.750], [0.667, 0.333, 0.410], [0.333, 0.667, 0.910], [0.333, 0.667, 0.590], [0.000, 0.000, 0.750], [0.000, 0.000, 0.250]], "formation_energy_ev_per_atom": -0.208, "e_above_lowest_polymorph_mev_per_atom": 208.4, "total_magnetization_mub_per_fu": 0.00}

{"formula": "BaBiBO4", "functional": "PBE-GGA", "state": "optimized geometry", "lattice": [[-0.121, -4.139, -3.150], [8.446, -1.668, 1.867], [-2.795, -5.678, 7.570]], "species": ["B", "B", "B", "B", "O", "O", "O", "O", "O", "O", "O", "O", "O", "O", "O", "O", "O", "O", "O", "O", "Bi", "Bi", "Bi", "Bi", "Ba", "Ba", "Ba", "Ba"], "fractional_positions": [[0.250, 0.302, 0.056], [0.750, 0.698, 0.944], [0.750, 0.198, 0.556], [0.250, 0.802, 0.444], [0.250, 0.813, 0.585], [0.750, 0.076, 0.917], [0.515, 0.703, 0.878], [0.515, 0.203, 0.622], [0.015, 0.297, 0.122], [0.485, 0.297, 0.122], [0.750, 0.576, 0.583], [0.015, 0.797, 0.378], [0.750, 0.187, 0.415], [0.985, 0.703, 0.878], [0.485, 0.797, 0.378], [0.250, 0.924, 0.083], [0.250, 0.424, 0.417], [0.750, 0.687, 0.085], [0.250, 0.313, 0.915], [0.985, 0.203, 0.622], [0.250, 0.694, 0.061], [0.750, 0.806, 0.561], [0.250, 0.194, 0.439], [0.750, 0.306, 0.939], [0.250, 0.009, 0.817], [0.750, 0.991, 0.183], [0.250, 0.509, 0.683], [0.750, 0.491, 0.317]], "e_above_lowest_polymorph_mev_per_atom": 0.0, "formation_energy_uncorrected_ev_per_atom": -2.212, "total_magnetization_mub_per_fu": 0.00}

{"formula": "LiTbZrRe", "functional": "PBE-GGA", "state": "optimized geometry", "lattice": [[-1.944, 0.288, 4.384], [-2.134, -3.843, 1.938], [2.056, -2.282, 3.694]], "species": ["Zr", "Re", "Tb", "Li"], "fractional_positions": [[0.500, 0.500, 0.500], [0.250, 0.250, 0.250], [0.000, 0.000, 0.000], [0.750, 0.750, 0.750]], "formation_energy_ev_per_atom": -0.016, "total_magnetization_mub_per_fu": 0.00}

{"formula": "Pr3Cu2Sn4", "functional": "PBE-GGA", "state": "optimized geometry", "lattice": [[-3.955, -2.331, -0.603], [4.970, -3.667, -0.651], [-1.516, 0.300, 8.783]], "species": ["Sn", "Sn", "Sn", "Sn", "Pr", "Pr", "Pr", "Cu", "Cu"], "fractional_positions": [[0.706, 0.413, 0.078], [0.085, 0.170, 0.393], [0.915, 0.830, 0.607], [0.294, 0.587, 0.922], [0.000, 0.000, 0.000], [0.369, 0.737, 0.312], [0.631, 0.263, 0.688], [0.690, 0.380, 0.371], [0.310, 0.620, 0.629]], "formation_energy_ev_per_atom": -0.602, "e_above_lowest_polymorph_mev_per_atom": 0.0, "total_magnetization_mub_per_fu": 0.00}

{"formula": "LiRu2W", "functional": "PBE-GGA", "state": "optimized geometry", "lattice": [[-3.972, -2.368, -1.499], [0.165, -0.789, -4.794], [2.316, -0.953, 4.166]], "species": ["W", "Ru", "Ru", "Li"], "fractional_positions": [[0.750, 0.250, 0.500], [0.504, 0.504, 0.000], [0.996, 0.996, 0.000], [0.250, 0.750, 0.500]], "formation_energy_ev_per_atom": 0.204, "e_above_lowest_polymorph_mev_per_atom": 259.2, "total_magnetization_mub_per_fu": 0.00}

{"formula": "Li2NdDyGe2", "functional": "PBE-GGA", "state": "optimized geometry", "lattice": [[4.455, 0.000, 0.000], [-2.227, 3.858, 0.000], [0.000, 0.000, 7.364]], "species": ["Ge", "Ge", "Nd", "Li", "Li", "Dy"], "fractional_positions": [[0.667, 0.333, 0.739], [0.333, 0.667, 0.261], [0.000, 0.000, 0.000], [0.333, 0.667, 0.722], [0.667, 0.333, 0.278], [0.000, 0.000, 0.500]], "formation_energy_ev_per_atom": -0.680, "total_magnetization_mub_per_fu": 0.00}

{"formula": "Tb2PmHg5", "functional": "PBE-GGA", "state": "optimized geometry", "lattice": [[5.252, 0.000, 0.000], [0.000, 5.252, 0.000], [-2.626, -2.626, 7.371]], "species": ["Pm", "Tb", "Tb", "Hg", "Hg", "Hg", "Hg", "Hg"], "fractional_positions": [[0.000, 0.000, 0.000], [0.733, 0.733, 0.466], [0.267, 0.267, 0.534], [0.126, 0.626, 0.253], [0.874, 0.374, 0.747], [0.500, 0.500, 0.000], [0.374, 0.874, 0.747], [0.626, 0.126, 0.253]], "formation_energy_ev_per_atom": -0.442, "total_magnetization_mub_per_fu": 0.00}